(1)
Ce2Sc2Bi2P | PBE | relaxed

Geometry as POSCAR:
```
Ce2Sc2Bi2P
1.0
-2.435 2.435 8.275
2.435 -2.435 8.275
2.435 2.435 -8.275
Ce Sc Bi P
2 2 2 1
direct
0.168 0.168 0.000
0.832 0.832 0.000
0.000 0.500 0.500
0.500 0.000 0.500
0.369 0.369 0.000
0.631 0.631 0.000
0.000 0.000 0.000
```

The crystal system is tetragonal. As for the magnetization: 2.83 μB per formula unit. The energy of formation from the pure elements comes out at -0.862 eV/atom. The value obtained for the total energy is -6.2484 eV per atom.

=====

(2)
Ce4BiPSe2 | PBE | relaxed

Geometry as POSCAR:
```
Ce4BiPSe2
1.0
7.356 0.000 0.000
0.000 4.264 0.000
-2.477 0.000 7.093
Ce Bi P Se
4 1 1 2
direct
0.240 0.000 0.227
0.255 0.500 0.770
0.745 0.500 0.230
0.760 0.000 0.773
0.500 0.500 0.500
0.500 0.000 0.000
0.000 0.000 0.500
0.000 0.500 0.000
```

The crystal system is monoclinic. As for the magnetization: 3.65 μB per formula unit. The value obtained for the total energy is -6.4417 eV per atom. The uncorrected formation energy comes out at -1.44 eV/atom.

=====

(3)
Ce6BiTe3P2 | PBE | relaxed

Geometry as POSCAR:
```
Ce6BiTe3P2
1.0
9.579 -2.165 0.000
9.579 2.165 0.000
-2.137 0.000 8.608
Ce Bi Te P
6 1 3 2
direct
0.015 0.015 0.262
0.325 0.325 0.435
0.328 0.328 0.884
0.672 0.672 0.116
0.675 0.675 0.565
0.985 0.985 0.738
0.500 0.500 0.000
0.160 0.160 0.833
0.500 0.500 0.500
0.840 0.840 0.167
0.170 0.170 0.338
0.830 0.830 0.662
```

The crystal system is monoclinic. As for the magnetization: 5.81 μB per formula unit. The value obtained for the total energy is -6.2915 eV per atom. The uncorrected formation energy comes out at -1.31 eV/atom.

=====

(4)
Ce4Bi2TeP | PBE | relaxed

Geometry as POSCAR:
```
Ce4Bi2TeP
1.0
7.703 0.000 0.000
0.000 4.408 0.000
-2.523 0.000 7.312
Ce Bi Te P
4 2 1 1
direct
0.226 0.000 0.224
0.238 0.500 0.767
0.762 0.500 0.233
0.774 0.000 0.776
0.000 0.000 0.500
0.500 0.500 0.500
0.500 0.000 0.000
0.000 0.500 0.000
```

The crystal system is monoclinic. As for the magnetization: 3.70 μB per formula unit. The value obtained for the total energy is -6.0863 eV per atom. The uncorrected formation energy comes out at -1.08 eV/atom.

=====

Calculated V in order - 196.3, 222.5, 357.0, 248.3 Å³ per cell
Calculated DOS at the Fermi energy in order - 18.07, 24.52, 39.09, 25.03 states/eV per cell